NaGa2Si2 SCAN PBEsol geometry; raw formation energy = 0.33 eV per formula unit; relative energy among the computed polymorphs = 0.064 eV per atom
1.0
4.2807 0.0000 0.0000
0.0000 4.2807 0.0000
-2.1404 -2.1404 5.1799
Na Si Ga
1 2 2
Direct
0.0000 0.0000 0.0000
0.2500 0.7500 0.5000
0.7500 0.2500 0.5000
0.3813 0.3813 0.7626
0.6187 0.6187 0.2374



LiZnHg2 SCAN PBEsol geometry; VASP energy = -38.21 eV/atom
1.0
-1.2548 -0.1777 -3.9676
1.2681 -3.9610 -0.2236
-3.7858 0.7888 3.3482
Zn Hg Li
1 2 1
Direct
0.2500 0.7500 0.5000
0.0000 0.0000 0.0000
0.7500 0.2500 0.5000
0.5000 0.5000 0.0000



Mg7Be SCAN PBEsol geometry; VASP energy = -4.71 eV/atom
1.0
-3.7157 4.6904 1.4594
-4.7450 1.4238 -3.6598
-5.7659 -1.1035 1.8635
Be Mg
1 7
Direct
0.0000 0.0000 0.0000
0.5000 0.0000 0.0000
0.5000 0.5000 0.0000
0.0000 0.5000 0.0000
0.5000 0.0000 0.5000
0.0000 0.0000 0.5000
0.0000 0.5000 0.5000
0.5000 0.5000 0.5000



TcRh SCAN PBEsol geometry; relative energy among the computed polymorphs = 0.081 eV per atom
1.0
2.6896 0.0000 0.0000
0.0000 4.7042 -0.0039
-1.3448 -2.3089 4.3009
Rh Tc
2 2
Direct
0.8782 0.7074 0.7563
0.1218 0.2926 0.2437
0.3740 0.2086 0.7480
0.6260 0.7914 0.2520



MnAgPt3 SCAN PBEsol geometry; VASP energy = -50.66 eV/atom
1.0
-4.0118 2.5724 -0.2003
-1.6790 -2.3215 3.8136
1.9592 3.2780 2.8580
Mn Ag Pt
1 1 3
Direct
0.5000 0.5000 0.5000
0.0000 0.0000 0.0000
0.0000 0.5000 0.0000
0.0000 0.0000 0.5000
0.5000 0.0000 0.0000



LaSi2Au2 SCAN PBEsol geometry; raw formation energy = -3.97 eV per formula unit
1.0
4.3238 0.0000 0.0000
0.0000 4.3238 0.0000
-2.1619 -2.1619 5.0824
Si Au La
2 2 1
Direct
0.3842 0.3842 0.7683
0.6158 0.6158 0.2317
0.2500 0.7500 0.5000
0.7500 0.2500 0.5000
0.0000 0.0000 0.0000



ZnH18Ru2Br7N6 SCAN PBEsol geometry; VASP energy = -10.46 eV/atom
1.0
-7.8454 2.8900 3.3306
-4.1380 -4.9604 -7.8132
-0.6686 -8.2847 5.6138
Zn H Ru Br N
2 36 4 14 12
Direct
0.7428 0.5090 0.7500
0.2572 0.4910 0.2500
0.4172 0.1045 0.0913
0.5828 0.8955 0.5913
0.5828 0.8955 0.9087
0.4172 0.1045 0.4087
0.5667 0.1723 0.0130
0.4333 0.8277 0.5130
0.4333 0.8277 0.9870
0.5667 0.1723 0.4870
0.4894 0.2557 0.1330
0.5106 0.7443 0.6330
0.5106 0.7443 0.8670
0.4894 0.2557 0.3670
0.7689 0.3244 0.1666
0.2311 0.6756 0.6666
0.2311 0.6756 0.8334
0.7689 0.3244 0.3334
0.8964 0.2499 0.2500
0.1036 0.7501 0.7500
0.0815 0.7752 0.2500
0.9185 0.2248 0.7500
0.0736 0.9158 0.1671
0.9264 0.0842 0.6671
0.9264 0.0842 0.8329
0.0736 0.9158 0.3329
0.8941 0.6522 0.1048
0.1059 0.3478 0.6048
0.1059 0.3478 0.8952
0.8941 0.6522 0.3952
0.7917 0.7394 0.0101
0.2083 0.2606 0.5101
0.2083 0.2606 0.9899
0.7917 0.7394 0.4899
0.7091 0.6323 0.1190
0.2909 0.3677 0.6190
0.2909 0.3677 0.8810
0.7091 0.6323 0.3810
0.6531 0.0884 0.2500
0.3469 0.9116 0.7500
0.8014 0.8503 0.2500
0.1986 0.1497 0.7500
0.5185 0.8582 0.2500
0.4815 0.1418 0.7500
0.8128 0.0167 0.4371
0.1872 0.9833 0.9371
0.1872 0.9833 0.5629
0.8128 0.0167 0.0629
0.4758 0.5192 0.7500
0.5242 0.4808 0.2500
0.8288 0.7427 0.7500
0.1712 0.2573 0.2500
0.8266 0.3909 0.9375
0.1734 0.6091 0.4375
0.1734 0.6091 0.0625
0.8266 0.3909 0.5625
0.5163 0.1621 0.1055
0.4837 0.8379 0.6055
0.4837 0.8379 0.8945
0.5163 0.1621 0.3945
0.7846 0.2673 0.2500
0.2154 0.7327 0.7500
0.0330 0.8643 0.2500
0.9670 0.1357 0.7500
0.7985 0.7025 0.1059
0.2015 0.2975 0.6059
0.2015 0.2975 0.8941
0.7985 0.7025 0.3941



LaSnP2O SCAN PBEsol geometry; raw formation energy = -3.39 eV per formula unit
1.0
-0.6044 4.0228 0.4942
-3.0622 -0.9326 3.8462
3.8882 0.1980 3.1437
P Sn O La
2 1 1 1
Direct
0.0000 0.0000 0.5000
0.0000 0.5000 0.0000
0.0000 0.0000 0.0000
0.5000 0.0000 0.0000
0.5000 0.5000 0.5000



GaCu2AgW SCAN PBEsol geometry; VASP energy = -27.84 eV/atom
1.0
-0.9687 3.5796 2.4432
0.3942 -2.4203 3.7024
4.3658 1.0363 0.2126
Ga Cu Ag W
1 2 1 1
Direct
0.0000 0.0000 0.5000
0.0000 0.5000 0.0000
0.5000 0.0000 0.0000
0.0000 0.0000 0.0000
0.5000 0.5000 0.5000



Tl2RuPb SCAN PBEsol geometry; relative energy among the computed polymorphs = 0.000 eV per atom
1.0
-0.4106 -0.5290 3.0538
-1.1615 -4.3433 -0.9085
7.2523 0.5918 -0.5227
Pb Ru Tl
1 1 2
Direct
0.4276 0.4276 0.8552
0.7523 0.2523 0.5047
0.0716 0.0716 0.1433
0.2484 0.7484 0.4969



KMgSc3 SCAN PBEsol geometry; relative energy among the computed polymorphs = 0.428 eV per atom
1.0
4.9589 0.0000 0.0000
0.0000 4.9589 0.0000
0.0000 0.0000 4.9589
Sc K Mg
3 1 1
Direct
0.0000 0.5000 0.0000
0.0000 0.0000 0.5000
0.5000 0.0000 0.0000
0.0000 0.0000 0.0000
0.5000 0.5000 0.5000



MnAsOs2 SCAN PBEsol geometry; VASP energy = -45.09 eV/atom
1.0
2.7015 -0.0002 0.0000
-1.2605 2.3894 0.0000
0.0000 0.0000 8.9053
As Mn Os
1 1 2
Direct
0.5000 0.5000 0.5000
0.5000 0.5000 0.0000
0.0000 0.0000 0.2312
0.0000 0.0000 0.7688



InNiHg2 SCAN PBEsol geometry; VASP energy = -46.19 eV/atom
1.0
-3.0021 2.8653 0.3186
-2.5616 -2.4401 -2.1927
1.4316 -2.0272 4.5339
Hg In Ni
2 1 1
Direct
0.7500 0.2500 0.5000
0.2500 0.7500 0.5000
0.5000 0.5000 0.0000
0.0000 0.0000 0.0000



Na3ZrW SCAN PBEsol geometry; VASP energy = -20.17 eV/atom
1.0
-2.1908 0.0629 5.0283
4.7158 -1.8790 2.0781
1.7463 5.1530 0.6964
Na Zr W
3 1 1
Direct
0.0000 0.5000 0.0000
0.0000 0.0000 0.5000
0.5000 0.0000 0.0000
0.0000 0.0000 0.0000
0.5000 0.5000 0.5000



Si2Sn2I SCAN PBEsol geometry; raw formation energy = 1.44 eV per formula unit
1.0
3.7262 0.0000 0.0000
0.0000 3.7262 0.0000
-1.8631 -1.8631 8.9613
I Si Sn
1 2 2
Direct
0.0000 0.0000 0.0000
0.2500 0.7500 0.5000
0.7500 0.2500 0.5000
0.3737 0.3737 0.7473
0.6263 0.6263 0.2527



HfBeGe SCAN PBEsol geometry; VASP energy = -29.29 eV/atom
1.0
-1.8231 0.2247 3.0523
-3.0258 -1.3800 -1.7056
2.4437 -2.3111 1.6297
Be Ge Hf
1 1 1
Direct
0.0000 0.3333 0.6667
0.0000 0.0000 0.0000
0.5000 0.6667 0.3333



BaBrCl SCAN PBEsol geometry; raw formation energy = -7.92 eV per formula unit; relative energy among the computed polymorphs = 0.000 eV per atom
1.0
-3.9291 -2.4939 2.4876
-3.8590 -2.2804 -2.7845
-0.3418 -5.2613 -0.2176
Ba Br Cl
1 1 1
Direct
0.2500 0.2500 0.2500
0.0000 0.0000 0.0000
0.5000 0.5000 0.5000



Os2RhCl SCAN PBEsol geometry; raw formation energy = 2.78 eV per formula unit; relative energy among the computed polymorphs = 0.000 eV per atom
1.0
-0.4345 -1.0734 -2.5171
-1.9581 -2.4905 1.4001
-5.1982 3.7036 -0.6821
Cl Os Rh
1 2 1
Direct
0.5000 0.5000 0.7397
0.0000 0.0000 0.0452
0.5000 0.5000 0.2432
0.0000 0.0000 0.4718



La2RuSe SCAN PBEsol geometry; raw formation energy = -4.72 eV per formula unit
1.0
-0.7229 -2.7083 -3.1607
2.4833 -2.8551 1.8785
-4.7016 -2.1626 2.9285
Ru Se La
1 1 2
Direct
0.0000 0.0000 0.3333
0.5000 0.5000 0.8657
0.0000 0.0000 0.9331
0.5000 0.5000 0.3679



BaHf2Tl SCAN PBEsol geometry; VASP energy = -58.67 eV/atom
1.0
-3.8649 1.3637 -3.0719
-4.6523 0.8569 1.9637
-1.8616 4.7679 0.1888
Tl Hf Ba
1 2 1
Direct
0.5000 0.5000 0.5000
0.2500 0.2500 0.2500
0.7500 0.7500 0.7500
0.0000 0.0000 0.0000



ScTlTe2 SCAN PBEsol geometry; raw formation energy = -2.82 eV per formula unit
1.0
4.1051 0.0000 -0.0089
0.0000 4.5371 0.0000
-2.0391 0.0000 5.7069
Sc Te Tl
1 2 1
Direct
0.4535 0.5000 0.7823
0.0215 0.0000 0.9186
0.7472 0.5000 0.3691
0.2778 0.0000 0.4300



Y2CdAs SCAN PBEsol geometry; relative energy among the computed polymorphs = 0.120 eV per atom
1.0
3.6753 0.0000 0.1163
0.0000 3.6754 0.0000
-0.2038 0.0000 6.7991
Y As Cd
2 1 1
Direct
0.9992 0.0000 0.7691
0.0008 0.0000 0.2309
0.5000 0.5000 0.0000
0.5000 0.5000 0.5000



FeRe3 SCAN PBEsol geometry; VASP energy = -57.73 eV/atom
1.0
-2.4267 0.4526 -0.9182
2.2318 -1.6461 -4.1919
-1.0234 -3.4219 3.5364
Fe Re
1 3
Direct
0.0000 0.0000 0.0000
0.5000 0.5000 0.0000
0.5000 0.0000 0.5000
0.0000 0.5000 0.5000



GeSe2IBr SCAN PBEsol geometry; raw formation energy = 1.83 eV per formula unit
1.0
5.0038 0.0000 0.0000
0.0000 5.0784 0.0000
0.0000 0.0000 5.0784
I Ge Se Br
1 1 2 1
Direct
0.5000 0.5000 0.5000
0.0000 0.0000 0.0000
0.0000 0.0000 0.5000
0.0000 0.5000 0.0000
0.5000 0.0000 0.0000



CrReRu SCAN PBEsol geometry; relative energy among the computed polymorphs = 0.000 eV per atom
1.0
-1.2868 -0.6249 -2.2398
2.2298 -1.0579 -0.9859
-1.8587 -4.1135 3.7923
Cr Re Ru
1 1 1
Direct
0.9952 0.9952 0.9904
0.6640 0.6640 0.3280
0.3408 0.3408 0.6816



MnRh2W SCAN PBEsol geometry; relative energy among the computed polymorphs = 0.210 eV per atom
1.0
2.6767 0.0000 0.0000
0.0000 4.2466 0.0000
0.0000 0.0000 4.6666
Mn Rh W
1 2 1
Direct
0.5000 0.5000 0.2041
0.0000 0.0000 0.0528
0.0000 0.5000 0.7101
0.5000 0.0000 0.5330